[1]
VASP calculation (PBE-GGA) on RbLuMo after structural relaxation.

POSCAR file:
```
RbLuMo
1.0
0.000 3.676 3.676
3.676 0.000 3.676
3.676 3.676 0.000
Rb Lu Mo
1 1 1
direct
0.000 0.000 0.000
0.750 0.750 0.750
0.250 0.250 0.250
```

Output
The total energy comes out at -9.46 eV/cell. As for the symmetry: F-43m (216). The density is 5.96 g/cm3.

---

[2]
VASP calculation (PBE-GGA) on LuReMo after structural relaxation.

POSCAR file:
```
LuReMo
1.0
0.000 3.143 3.143
3.143 0.000 3.143
3.143 3.143 0.000
Lu Re Mo
1 1 1
direct
0.000 0.000 0.000
0.250 0.250 0.250
0.500 0.500 0.500
```

Output
The total energy comes out at -26.39 eV/cell. As for the symmetry: F-43m (216). The density is 12.23 g/cm3.